Computed, not measured: crystalline Tl2AgWS at its relaxed geometry at the PBE level of DFT.

## Properties
The value obtained for the uncorrected formation energy is 0.934 eV/atom.

a = 5.8611 Å, b = 5.8611 Å, c = 4.4645 Å
α = 90.00°, β = 90.00°, γ = 90.00°
Closest atoms and distances in Å follow each position.
Positions (direct):
Ag 0.5000 0.5000 0.5000  8 Tl 3.68
W 0.0000 0.0000 0.5000  2 S 2.23
Tl 0.0000 0.5000 0.0000  2 S 2.93
S 0.0000 0.0000 0.0000  2 W 2.23
Tl 0.5000 0.0000 0.0000  2 S 2.93

=====

Computed, not measured: crystalline Tl3Ag2WS6 at its relaxed geometry at the PBE level of DFT.

## Properties
The value obtained for the uncorrected formation energy is -0.201 eV/atom.

a = 6.7853 Å, b = 6.7853 Å, c = 7.1932 Å
α = 99.20°, β = 99.20°, γ = 119.79°
Closest atoms and distances in Å follow each position.
Positions (direct):
S 0.9353 0.6402 0.8013  1 W 2.41
S 0.2310 0.2310 0.7994  1 W 2.45
Ag 0.6666 0.3334 0.0000  6 S 2.75-2.78
S 0.7690 0.7690 0.2006  1 W 2.45
Tl 0.8357 0.1643 0.5000  6 S 2.94-3.27
S 0.3598 0.0647 0.1987  1 W 2.41
S 0.6402 0.9353 0.8013  1 W 2.41
Tl 0.5000 0.5000 0.5000  6 S 2.97-3.24
Ag 0.3334 0.6666 0.0000  6 S 2.75-2.78
W 0.0000 0.0000 0.0000  6 S 2.41-2.45
Tl 0.1643 0.8357 0.5000  6 S 2.94-3.27
S 0.0647 0.3598 0.1987  1 W 2.41

=====

Computed, not measured: crystalline Tl2AgWS4 at its relaxed geometry at the PBE level of DFT.

## Properties
The value obtained for the uncorrected formation energy is -0.319 eV/atom.

a = 6.6274 Å, b = 6.6274 Å, c = 6.6274 Å
α = 107.47°, β = 110.48°, γ = 110.48°
Closest atoms and distances in Å follow each position.
Positions (direct):
Tl 0.0000 0.0000 0.0000  4 S 3.23
Ag 0.5000 0.2500 0.7500  4 S 2.61
Tl 0.5000 0.7500 0.2500  4 S 3.17
W 0.0000 0.5000 0.5000  4 S 2.24
S 0.9426 0.4804 0.1398  1 W 2.24
S 0.6593 0.4622 0.5196  1 W 2.24
S 0.3407 0.8602 0.8029  1 W 2.24
S 0.0574 0.1971 0.5378  1 W 2.24

=====

Computed, not measured: crystalline Y2TlAgS4 at its relaxed geometry at the PBE level of DFT.

## Properties
The value obtained for the uncorrected formation energy is -1.380 eV/atom.

a = 4.0396 Å, b = 7.0491 Å, c = 14.3715 Å
α = 90.00°, β = 90.00°, γ = 106.65°
Closest atoms and distances in Å follow each position.
Positions (direct):
Y 0.3687 0.7374 0.5657  6 S 2.74-2.85
S 0.7365 0.4729 0.5993  1 Ag 2.50, 3 Y 2.74-2.76
S 0.0000 0.0000 0.0000  4 Y 2.85
S 0.2635 0.5271 0.4007  1 Ag 2.50, 3 Y 2.74-2.76
S 0.0000 0.0000 0.5000  4 Y 2.85
Y 0.3687 0.7374 0.9343  6 S 2.74-2.85
Tl 0.8858 0.7716 0.2500  6 S 3.08-3.39
S 0.4417 0.8835 0.7500  2 Ag 2.53, 2 Y 2.83
S 0.2635 0.5271 0.0993  1 Ag 2.50, 3 Y 2.74-2.76
Y 0.6313 0.2626 0.4343  6 S 2.74-2.85
Y 0.6313 0.2626 0.0657  6 S 2.74-2.85
S 0.7365 0.4729 0.9007  1 Ag 2.50, 3 Y 2.74-2.76
Ag 0.1710 0.3420 0.2500  4 S 2.50-2.53
Tl 0.1142 0.2284 0.7500  6 S 3.08-3.39
Ag 0.8290 0.6580 0.7500  4 S 2.50-2.53
S 0.5583 0.1165 0.2500  2 Ag 2.53, 2 Y 2.83

=====

Computed, not measured: crystalline YTlAgS2 at its relaxed geometry at the PBE level of DFT.

## Properties
The value obtained for the uncorrected formation energy is -0.819 eV/atom.

a = 6.0094 Å, b = 6.3361 Å, c = 7.4614 Å
α = 104.49°, β = 90.00°, γ = 90.00°
Closest atoms and distances in Å follow each position.
Positions (direct):
Tl 0.8129 0.5000 0.2500  6 S 3.23-3.52, 2 Ag 3.44
S 0.6864 0.2497 0.5639  1 Ag 2.43, 2 Y 2.65-2.68
S 0.6864 0.7503 0.9361  1 Ag 2.43, 2 Y 2.65-2.68
S 0.3136 0.2497 0.0639  1 Ag 2.43, 2 Y 2.65-2.68
Y 0.5171 0.0000 0.2500  4 S 2.65-2.68
Y 0.4829 0.0000 0.7500  4 S 2.65-2.68
S 0.3136 0.7503 0.4361  1 Ag 2.43, 2 Y 2.65-2.68
Ag 0.0000 0.0000 0.0000  2 S 2.43
Tl 0.1871 0.5000 0.7500  6 S 3.23-3.52, 2 Ag 3.44
Ag 0.0000 0.0000 0.5000  2 S 2.43

=====

Computed, not measured: crystalline Tl2ZnAgS4 at its relaxed geometry at the PBE level of DFT.

## Properties
The value obtained for the uncorrected formation energy is -0.267 eV/atom.

a = 6.0432 Å, b = 6.0432 Å, c = 7.1420 Å
α = 115.01°, β = 115.01°, γ = 90.04°
Closest atoms and distances in Å follow each position.
Positions (direct):
Tl 0.2501 0.7501 0.5002  4 S 2.67
Ag 0.0003 0.0003 0.0005  4 S 2.59
S 0.6247 0.6247 0.7792  1 Zn 2.37, 1 Ag 2.59
Zn 0.5000 0.5000 0.9999  4 S 2.37
S 0.3753 0.8454 0.2207  1 Zn 2.37, 1 Ag 2.59
Tl 0.7501 0.2501 0.5002  4 S 2.67
S 0.1544 0.1544 0.7792  1 Zn 2.37, 1 Ag 2.59
S 0.8454 0.3753 0.2207  1 Zn 2.37, 1 Ag 2.59

=====

Computed, not measured: crystalline TlZnAgS2 at its relaxed geometry at the PBE level of DFT.

## Properties
The value obtained for the uncorrected formation energy is -0.298 eV/atom.

a = 5.0148 Å, b = 7.2137 Å, c = 7.2962 Å
α = 101.74°, β = 90.00°, γ = 90.00°
Closest atoms and distances in Å follow each position.
Positions (direct):
S 0.2833 0.7705 0.4489  1 Zn 2.16
Tl 0.8126 0.5000 0.2500  6 S 3.21-3.44
S 0.7167 0.7705 0.9489  1 Zn 2.16
Ag 0.5219 0.0000 0.2500  4 S 2.65-2.69
S 0.7167 0.2295 0.5511  1 Zn 2.16
Zn 0.0000 0.0000 0.0000  2 S 2.16
Tl 0.1874 0.5000 0.7500  6 S 3.21-3.44
S 0.2833 0.2295 0.0511  1 Zn 2.16
Zn 0.0000 0.0000 0.5000  2 S 2.16
Ag 0.4781 0.0000 0.7500  4 S 2.65-2.69

=====

Computed, not measured: crystalline ZrTlAgS3 at its relaxed geometry at the PBE level of DFT.

## Properties
The value obtained for the uncorrected formation energy is -0.886 eV/atom.

a = 3.8417 Å, b = 8.4587 Å, c = 9.3801 Å
α = 108.32°, β = 90.00°, γ = 90.00°
Closest atoms and distances in Å follow each position.
Positions (direct):
S 0.2500 0.7470 0.4375  1 Zr 2.53, 3 Ag 2.61-2.70
Tl 0.7500 0.7638 0.7323  7 S 3.21-3.54
S 0.2500 0.1285 0.8912  1 Ag 2.49, 2 Zr 2.61
Tl 0.2500 0.2362 0.2677  7 S 3.21-3.54
S 0.7500 0.2530 0.5625  1 Zr 2.53, 3 Ag 2.61-2.70
S 0.7500 0.8715 0.1088  1 Ag 2.49, 2 Zr 2.61
Zr 0.7500 0.3154 0.8450  6 S 2.53-2.67
Ag 0.2500 0.0684 0.6136  4 S 2.49-2.70
S 0.2500 0.5343 0.8589  3 Zr 2.64-2.67
Ag 0.7500 0.9316 0.3864  4 S 2.49-2.70
S 0.7500 0.4657 0.1411  3 Zr 2.64-2.67
Zr 0.2500 0.6846 0.1550  6 S 2.53-2.67

=====

Computed, not measured: crystalline ZrTl2Ag2S4 at its relaxed geometry at the PBE level of DFT.

## Properties
The value obtained for the uncorrected formation energy is -0.633 eV/atom.

a = 3.9245 Å, b = 7.7635 Å, c = 7.7250 Å
α = 110.89°, β = 104.72°, γ = 90.00°
Closest atoms and distances in Å follow each position.
Positions (direct):
Ag 0.6753 0.9637 0.3506  4 S 2.49-2.73
S 0.5005 0.7718 0.0009  1 Ag 2.49, 2 Zr 2.65
Tl 0.8586 0.4301 0.7172  5 S 3.21-3.35, 2 Ag 3.51
S 0.4995 0.2282 0.9991  1 Ag 2.49, 2 Zr 2.65
S 0.8121 0.8073 0.6241  3 Ag 2.61-2.73, 1 Zr 2.65
Ag 0.3247 0.0363 0.6494  4 S 2.49-2.73
Tl 0.1414 0.5699 0.2828  5 S 3.21-3.35, 2 Ag 3.51
S 0.1879 0.1927 0.3759  3 Ag 2.61-2.73, 1 Zr 2.65
Zr 0.0000 0.0000 0.0000  6 S 2.65

=====

Computed, not measured: crystalline ZrTl2AgS4 at its relaxed geometry at the PBE level of DFT.

## Properties
The value obtained for the uncorrected formation energy is -0.665 eV/atom.

a = 3.7717 Å, b = 7.7011 Å, c = 7.1120 Å
α = 69.61°, β = 90.00°, γ = 90.00°
Closest atoms and distances in Å follow each position.
Positions (direct):
S 0.5000 0.2880 0.7006  2 Zr 2.58
Tl 0.0000 0.0000 0.0000  6 S 3.12-3.46
Ag 0.5000 0.5000 0.0000  4 S 2.59
S 0.0000 0.6780 0.7619  2 Ag 2.59, 1 Zr 2.67
Tl 0.5000 0.0000 0.5000  6 S 3.03-3.16
S 0.5000 0.7120 0.2994  2 Zr 2.58
Zr 0.0000 0.5000 0.5000  6 S 2.58-2.67
S 0.0000 0.3220 0.2381  2 Ag 2.59, 1 Zr 2.67

=====

Computed, not measured: crystalline Zr2Tl2AgS6 at its relaxed geometry at the PBE level of DFT.

## Properties
The value obtained for the uncorrected formation energy is -0.903 eV/atom.

a = 6.6162 Å, b = 6.6162 Å, c = 7.7482 Å
α = 97.32°, β = 97.32°, γ = 121.26°
Closest atoms and distances in Å follow each position.
Positions (direct):
Tl 0.1596 0.8404 0.0000  6 S 3.06-3.22
S 0.0630 0.4267 0.7034  2 Zr 2.57-2.59, 1 Ag 2.85
S 0.9370 0.5733 0.2966  2 Zr 2.57-2.59, 1 Ag 2.85
Ag 0.0000 0.0000 0.5000  6 S 2.58-2.85
S 0.2786 0.2786 0.3158  1 Ag 2.58, 2 Zr 2.60
S 0.4267 0.0630 0.7034  2 Zr 2.57-2.59, 1 Ag 2.85
S 0.5733 0.9370 0.2966  2 Zr 2.57-2.59, 1 Ag 2.85
Zr 0.6678 0.3322 0.5000  6 S 2.57-2.60
Tl 0.8404 0.1596 0.0000  6 S 3.06-3.22
Zr 0.3322 0.6678 0.5000  6 S 2.57-2.60
S 0.7214 0.7214 0.6842  1 Ag 2.58, 2 Zr 2.60

=====

Number 1: ρ 7.931 Mg/m³, E -19.99 eV per cell. Number 2: ρ 7.346 Mg/m³, E -52.94 eV per cell. Number 3: ρ 6.147 Mg/m³, E -39.60 eV per cell. Number 4: ρ 5.238 Mg/m³, E -91.39 eV per cell. Number 5: ρ 5.618 Mg/m³, E -48.07 eV per cell. Number 6: ρ 5.643 Mg/m³, E -27.51 eV per cell. Number 7: ρ 5.678 Mg/m³, E -32.47 eV per cell. Number 8: ρ 5.735 Mg/m³, E -62.92 eV per cell. Number 9: ρ 6.623 Mg/m³, E -41.19 eV per cell. Number 10: ρ 6.313 Mg/m³, E -37.96 eV per cell. Number 11: ρ 5.287 Mg/m³, E -59.38 eV per cell.